CsHg8Au4 | PBE-GGA | optimized geometry

Values from the calculation:
Space group: R-3m
Uncorrected energy: -0.08574 Ry per atom
Energy of formation from the pure elements: 0.093 eV/atom

a b c (Å): 9.315 9.315 9.315
angles (deg): 57.37 57.37 57.37
Positions (direct):
Cs: 0.000 0.000 0.000
Hg: 0.279 0.279 0.279
Hg: 0.283 0.283 0.670
Hg: 0.283 0.670 0.283
Hg: 0.330 0.717 0.717
Hg: 0.670 0.283 0.283
Hg: 0.717 0.330 0.717
Hg: 0.717 0.717 0.330
Hg: 0.721 0.721 0.721
Au: 0.000 0.500 0.500
Au: 0.500 0.000 0.500
Au: 0.500 0.500 0.000
Au: 0.500 0.500 0.500

***

Cs4Hg5Au3 | PBE-GGA | optimized geometry

Values from the calculation:
Space group: C2/m
Uncorrected energy: -0.10900 Ry per atom
Energy of formation from the pure elements: -0.253 eV/atom
Polymorph energy (0 for the lowest one): 0 meV/atom

a b c (Å): 10.875 10.875 8.564
angles (deg): 101.89 101.89 28.35
Positions (direct):
Cs: 0.101 0.101 0.415
Cs: 0.169 0.169 0.970
Cs: 0.831 0.831 0.030
Cs: 0.899 0.899 0.585
Hg: 0.000 0.000 0.000
Hg: 0.273 0.273 0.663
Hg: 0.447 0.447 0.292
Hg: 0.553 0.553 0.708
Hg: 0.727 0.727 0.337
Au: 0.304 0.304 0.328
Au: 0.500 0.500 0.000
Au: 0.696 0.696 0.672

***

Cs2HgAu | PBE-GGA | optimized geometry

Values from the calculation:
Space group: Amm2
Uncorrected energy: -0.11876 Ry per atom
Energy of formation from the pure elements: -0.294 eV/atom

a b c (Å): 5.130 7.262 7.262
angles (deg): 43.33 90.00 90.00
Positions (direct):
Cs: 0.000 0.000 0.000
Cs: 0.500 0.284 0.284
Hg: 0.000 0.701 0.701
Au: 0.500 0.584 0.584

***

CsHg12Au7 | PBE-GGA | optimized geometry

Values from the calculation:
Space group: R-3
Uncorrected energy: -0.09741 Ry per atom
Energy of formation from the pure elements: 0.046 eV/atom

a b c (Å): 9.141 9.141 9.141
angles (deg): 112.69 112.69 112.69
Positions (direct):
Cs: 0.000 0.000 0.000
Hg: 0.046 0.734 0.229
Hg: 0.098 0.405 0.492
Hg: 0.229 0.046 0.734
Hg: 0.266 0.771 0.954
Hg: 0.405 0.492 0.098
Hg: 0.492 0.098 0.405
Hg: 0.508 0.902 0.595
Hg: 0.595 0.508 0.902
Hg: 0.734 0.229 0.046
Hg: 0.771 0.954 0.266
Hg: 0.902 0.595 0.508
Hg: 0.954 0.266 0.771
Au: 0.166 0.487 0.230
Au: 0.230 0.166 0.487
Au: 0.487 0.230 0.166
Au: 0.500 0.500 0.500
Au: 0.513 0.770 0.834
Au: 0.770 0.834 0.513
Au: 0.834 0.513 0.770

***

CsHg2Au2 | PBE-GGA | optimized geometry

Values from the calculation:
Space group: I4/mmm
Uncorrected energy: -0.13270 Ry per atom
Energy of formation from the pure elements: -0.203 eV/atom
Polymorph energy (0 for the lowest one): 0 meV/atom

a b c (Å): 6.784 6.784 6.784
angles (deg): 135.49 135.49 64.77
Positions (direct):
Cs: 0.000 0.000 0.000
Hg: 0.250 0.750 0.500
Hg: 0.750 0.250 0.500
Au: 0.380 0.380 0.000
Au: 0.620 0.620 0.000

***

Cs2HgAu | PBE-GGA | optimized geometry

Values from the calculation:
Space group: P4/mmm
Uncorrected energy: -0.11650 Ry per atom
Energy of formation from the pure elements: -0.263 eV/atom

a b c (Å): 4.463 4.463 9.147
angles (deg): 90.00 90.00 90.00
Positions (direct):
Cs: 0.000 0.000 0.226
Cs: 0.000 0.000 0.774
Hg: 0.500 0.500 0.500
Au: 0.500 0.500 0.000

***

Cs2Hg10Au | PBE-GGA | optimized geometry

Values from the calculation:
Space group: Pbam
Uncorrected energy: -0.05458 Ry per atom
Energy of formation from the pure elements: -0.127 eV/atom

a b c (Å): 11.237 12.777 6.780
angles (deg): 90.00 90.00 90.00
Positions (direct):
Cs: 0.244 0.077 0.000
Cs: 0.256 0.577 0.000
Cs: 0.744 0.423 0.000
Cs: 0.756 0.923 0.000
Hg: 0.045 0.122 0.500
Hg: 0.067 0.330 0.224
Hg: 0.067 0.330 0.776
Hg: 0.172 0.693 0.500
Hg: 0.232 0.934 0.500
Hg: 0.268 0.434 0.500
Hg: 0.328 0.193 0.500
Hg: 0.433 0.830 0.224
Hg: 0.433 0.830 0.776
Hg: 0.455 0.622 0.500
Hg: 0.545 0.378 0.500
Hg: 0.567 0.170 0.224
Hg: 0.567 0.170 0.776
Hg: 0.672 0.807 0.500
Hg: 0.732 0.566 0.500
Hg: 0.768 0.066 0.500
Hg: 0.828 0.307 0.500
Hg: 0.933 0.670 0.224
Hg: 0.933 0.670 0.776
Hg: 0.955 0.878 0.500
Au: 0.000 0.500 0.500
Au: 0.500 0.000 0.500

***

Cs5HgAu2 | PBE-GGA | optimized geometry

Values from the calculation:
Space group: I4/mcm
Uncorrected energy: -0.11958 Ry per atom
Energy of formation from the pure elements: -0.236 eV/atom

a b c (Å): 11.467 11.467 11.467
angles (deg): 130.46 130.46 72.67
Positions (direct):
Cs: 0.000 0.000 0.000
Cs: 0.036 0.536 0.842
Cs: 0.194 0.036 0.500
Cs: 0.306 0.806 0.842
Cs: 0.464 0.306 0.500
Cs: 0.500 0.500 0.000
Cs: 0.536 0.694 0.500
Cs: 0.694 0.194 0.158
Cs: 0.806 0.964 0.500
Cs: 0.964 0.464 0.158
Hg: 0.250 0.250 0.000
Hg: 0.750 0.750 0.000
Au: 0.111 0.389 0.500
Au: 0.389 0.889 0.278
Au: 0.611 0.111 0.722
Au: 0.889 0.611 0.500

***

Cs2Hg12Au7 | PBE-GGA | optimized geometry

Values from the calculation:
Space group: P-3
Uncorrected energy: -0.10390 Ry per atom
Energy of formation from the pure elements: -0.067 eV/atom

a b c (Å): 11.678 11.678 4.734
angles (deg): 90.00 90.00 120.00
Positions (direct):
Cs: 0.333 0.667 0.253
Cs: 0.667 0.333 0.747
Hg: 0.064 0.622 0.756
Hg: 0.127 0.872 0.263
Hg: 0.128 0.255 0.263
Hg: 0.255 0.127 0.737
Hg: 0.378 0.441 0.756
Hg: 0.441 0.064 0.244
Hg: 0.559 0.936 0.756
Hg: 0.622 0.559 0.244
Hg: 0.745 0.873 0.263
Hg: 0.872 0.745 0.737
Hg: 0.873 0.128 0.737
Hg: 0.936 0.378 0.244
Au: 0.000 0.000 0.000
Au: 0.106 0.398 0.747
Au: 0.291 0.894 0.747
Au: 0.398 0.291 0.253
Au: 0.602 0.709 0.747
Au: 0.709 0.106 0.253
Au: 0.894 0.602 0.253

***

Cs7HgAu3 | PBE-GGA | optimized geometry

Values from the calculation:
Space group: C2/m
Uncorrected energy: -0.12170 Ry per atom
Energy of formation from the pure elements: -0.191 eV/atom

a b c (Å): 8.890 8.890 8.984
angles (deg): 103.25 103.25 98.25
Positions (direct):
Cs: 0.000 0.000 0.000
Cs: 0.121 0.539 0.271
Cs: 0.350 0.350 0.772
Cs: 0.461 0.879 0.729
Cs: 0.539 0.121 0.271
Cs: 0.650 0.650 0.228
Cs: 0.879 0.461 0.729
Hg: 0.000 0.000 0.500
Au: 0.281 0.719 0.000
Au: 0.500 0.500 0.500
Au: 0.719 0.281 0.000

***

Cs8HgAu3I4 | PBE-GGA | optimized geometry

Values from the calculation:
Space group: R-3m
Uncorrected energy: -0.17101 Ry per atom
E_form (uncorrected): -0.879 eV per atom

a b c (Å): 10.932 10.932 10.932
angles (deg): 59.55 59.55 59.55
Positions (direct):
Cs: 0.236 0.754 0.754
Cs: 0.245 0.245 0.245
Cs: 0.246 0.246 0.764
Cs: 0.246 0.764 0.246
Cs: 0.754 0.236 0.754
Cs: 0.754 0.754 0.236
Cs: 0.755 0.755 0.755
Cs: 0.764 0.246 0.246
Hg: 0.500 0.500 0.500
Au: 0.000 0.000 0.500
Au: 0.000 0.500 0.000
Au: 0.500 0.000 0.000
I: 0.000 0.000 0.000
I: 0.000 0.500 0.500
I: 0.500 0.000 0.500
I: 0.500 0.500 0.000

***

Cs2HgAuI | PBE-GGA | optimized geometry

Values from the calculation:
Space group: P4/mmm
Uncorrected energy: -0.15218 Ry per atom
Polymorph energy (0 for the lowest one): 0 meV/atom
E_form (uncorrected): -0.703 eV per atom

a b c (Å): 6.870 6.870 5.421
angles (deg): 90.00 90.00 90.00
Positions (direct):
Cs: 0.000 0.500 0.000
Cs: 0.500 0.000 0.000
Hg: 0.000 0.000 0.500
Au: 0.000 0.000 0.000
I: 0.500 0.500 0.500